(1)
Pm2PrEr3Bi6: optimized geometry, PBE.

Calculated formation energy in meV/atom: -877
Volume in A^3/atom: 32.73
Space group: No. 12

Cell: 10.1090 10.1090 9.0425 Å, 102.76 102.76 25.87°
With the nearest neighbours (Å) after each atom.
Fractional coordinates of all 12 atoms:
Pm 0.1671 0.1671 0.3332  6 Bi 3.23-3.24
Pm 0.8329 0.8329 0.6668  6 Bi 3.23-3.24
Pr 0.5000 0.5000 0.0000  6 Bi 3.26
Er 0.1661 0.1661 0.8325  6 Bi 3.15-3.16
Er 0.5000 0.5000 0.5000  6 Bi 3.14-3.16
Er 0.8339 0.8339 0.1675  6 Bi 3.15-3.16
Bi 0.0017 0.0017 0.7421  3 Er 3.14-3.16, 1 Pm 3.24, 2 Pr 3.26
Bi 0.3302 0.3302 0.9215  3 Er 3.15-3.16, 2 Pm 3.24, 1 Pr 3.26
Bi 0.3355 0.3355 0.4121  3 Er 3.16, 3 Pm 3.23-3.24
Bi 0.6645 0.6645 0.5879  3 Er 3.16, 3 Pm 3.23-3.24
Bi 0.6698 0.6698 0.0785  3 Er 3.15-3.16, 2 Pm 3.24, 1 Pr 3.26
Bi 0.9983 0.9983 0.2579  3 Er 3.14-3.16, 1 Pm 3.24, 2 Pr 3.26


(2)
PmPr2ErBi4: optimized geometry, PBE.

Calculated formation energy in meV/atom: -913
Volume in A^3/atom: 33.94
Space group: No. 10

Cell: 7.9256 4.5824 7.9309 Å, 90.00 109.50 90.00°
With the nearest neighbours (Å) after each atom.
Fractional coordinates of all 8 atoms:
Pm 0.0000 0.0000 0.0000  6 Bi 3.22
Pr 0.5000 0.0000 0.5000  6 Bi 3.25-3.26
Pr 0.5000 0.5000 0.0000  6 Bi 3.29
Er 0.0000 0.5000 0.5000  6 Bi 3.18
Bi 0.2401 0.0000 0.7427  2 Er 3.18, 1 Pm 3.22, 3 Pr 3.25-3.29
Bi 0.2431 0.5000 0.2517  1 Er 3.18, 2 Pm 3.22, 3 Pr 3.26-3.29
Bi 0.7569 0.5000 0.7483  1 Er 3.18, 2 Pm 3.22, 3 Pr 3.26-3.29
Bi 0.7599 0.0000 0.2573  2 Er 3.18, 1 Pm 3.22, 3 Pr 3.25-3.29


(3)
PmErPu2Bi4: optimized geometry, PBE.

Calculated formation energy in meV/atom: -583
Volume in A^3/atom: 32.87
Space group: No. 10

Cell: 7.8258 4.5321 7.8604 Å, 90.00 109.39 90.00°
With the nearest neighbours (Å) after each atom.
Fractional coordinates of all 8 atoms:
Pm 0.0000 0.0000 0.0000  6 Bi 3.22
Er 0.0000 0.5000 0.5000  6 Bi 3.18
Pu 0.5000 0.0000 0.5000  6 Bi 3.18-3.19
Pu 0.5000 0.5000 0.0000  6 Bi 3.23
Bi 0.2475 0.0000 0.7451  2 Er 3.18, 3 Pu 3.18-3.23, 1 Pm 3.22
Bi 0.2508 0.5000 0.2547  1 Er 3.18, 3 Pu 3.19-3.23, 2 Pm 3.22
Bi 0.7492 0.5000 0.7453  1 Er 3.18, 3 Pu 3.19-3.23, 2 Pm 3.22
Bi 0.7525 0.0000 0.2549  2 Er 3.18, 3 Pu 3.18-3.23, 1 Pm 3.22


(4)
Pm2ErScBi5: optimized geometry, PBE.

Calculated formation energy in meV/atom: -62
Volume in A^3/atom: 38.05
Space group: No. 123

Cell: 5.4480 5.4480 11.5369 Å, 90.00 90.00 90.00°
With the nearest neighbours (Å) after each atom.
Fractional coordinates of all 9 atoms:
Pm 0.0000 0.0000 0.2206  1 Bi 3.22
Pm 0.0000 0.0000 0.7794  1 Bi 3.22
Er 0.5000 0.5000 0.0000  6 Bi 2.72-3.00
Sc 0.5000 0.5000 0.5000  2 Bi 2.77
Bi 0.0000 0.0000 0.5000  2 Pm 3.22
Bi 0.0000 0.5000 0.0000  2 Er 2.72
Bi 0.5000 0.0000 0.0000  2 Er 2.72
Bi 0.5000 0.5000 0.2603  1 Sc 2.77, 1 Er 3.00
Bi 0.5000 0.5000 0.7397  1 Sc 2.77, 1 Er 3.00


Question: The highest calculated formation energy belongs to which entry?
Answer: Pm2ErScBi5


Question: Which of these has the highest volume?
Answer: Pm2ErScBi5